No. 1
Computed, not measured: a geometry-optimized GdDy2Pt structure at the PBE level of DFT.

Geometry as POSCAR:
```
GdDy2Pt
1.0
3.565 0.000 0.000
0.000 3.565 0.000
0.000 0.000 8.526
Gd Dy Pt
1 2 1
direct
0.000 0.000 0.000 Gd
0.500 0.500 0.308 Dy
0.500 0.500 0.692 Dy
0.000 0.000 0.500 Pt
```

* crystal system: tetragonal
* space group: No. 123
* calculated volume: 27.09 A^3/atom
* energy relative to the lowest polymorph listed for this composition: 0.000 eV per atom

No. 2
Computed, not measured: a geometry-optimized TaCuPdAu structure at the PBE level of DFT.

Geometry as POSCAR:
```
TaCuPdAu
1.0
0.000 3.171 3.171
3.171 0.000 3.171
3.171 3.171 0.000
Ta Cu Pd Au
1 1 1 1
direct
0.000 0.000 0.000 Ta
0.500 0.500 0.500 Cu
0.750 0.750 0.750 Pd
0.250 0.250 0.250 Au
```

* crystal system: cubic
* space group: No. 216
* calculated volume: 15.95 A^3/atom
* DFT total energy: -6.165 eV per atom